[1]
First-principles (GGA-PBE) data for crystalline La5TlAu4 at its relaxed geometry, as listed in the Alexandria database.

Cell lengths 3.7872, 3.7872, 19.4428 Å; angles 90.00, 90.00, 90.00 degrees
Atoms (fractional coordinates):
Au  0.0000  0.0000  0.2086
La  0.5000  0.5000  0.5000
Au  0.0000  0.0000  0.7914
Au  0.0000  0.0000  0.4031
La  0.5000  0.5000  0.8871
Tl  0.0000  0.0000  0.0000
La  0.5000  0.5000  0.1129
Au  0.0000  0.0000  0.5969
La  0.5000  0.5000  0.3055
La  0.5000  0.5000  0.6945

Results
As for the formation enthalpy at 0 K: -0.711 eV/atom. The space group is P4/mmm (123). The value obtained for the total energy is -47.22 eV/f.u. For the size of the total moment, the calculation gives 0.00 μB/atom.



[2]
First-principles (GGA-PBE) data for crystalline Ba2HRh at its relaxed geometry, as listed in the Alexandria database.

Cell lengths 4.3026, 4.3026, 7.8803 Å; angles 74.16, 74.16, 60.00 degrees
Atoms (fractional coordinates):
Ba  0.2521  0.2521  0.2437
Rh  0.6671  0.6671  0.9988
H  0.5005  0.5005  0.4986
Ba  0.0804  0.0804  0.7589

Results
The space group is R3m (160). The value obtained for the total energy is -15.08 eV/f.u. Its energy relative to the lowest polymorph listed for this composition is 155 meV/atom. For the size of the total moment, the calculation gives 0.00 μB/atom.



[3]
First-principles (GGA-PBE) data for crystalline EuMgInPd at its relaxed geometry, as listed in the Alexandria database.

Cell lengths 5.0796, 5.0796, 5.0796 Å; angles 60.00, 60.00, 60.00 degrees
Site moments in Bohr magnetons follow the coordinates.
Atoms (fractional coordinates):
Eu  0.2500  0.2500  0.2500  -6.74
Mg  0.7500  0.7500  0.7500  0.01
Pd  0.0000  0.0000  0.0000  0.02
In  0.5000  0.5000  0.5000  0.00

Results
As for the formation enthalpy at 0 K: -0.396 eV/atom. The space group is F-43m (216). The value obtained for the total energy is -21.38 eV/f.u. For the size of the total moment, the calculation gives 1.72 μB/atom.